Crystalline Rb2UTeS6 at its relaxed geometry. Source: Alexandria via LeMat-Bulk, functional GGA-PBE.

Size of the total moment ... 0.00 μB/cell
Raw formation energy ... -0.8420 eV/atom

Geometry as CIF:
```
data_Rb2UTeS6
_chemical_formula_sum 'Rb12 U6 Te6 S36'
_cell_length_a 7.3718
_cell_length_b 7.3718
_cell_length_c 38.1897
_cell_angle_alpha 90.00
_cell_angle_beta 90.00
_cell_angle_gamma 120.00
_space_group_name_H-M_alt 'R -3 m'
_space_group_IT_number 166
_space_group_name_Hall '-R 3 2"'
loop_
_atom_site_label
_atom_site_type_symbol
_atom_site_fract_x
_atom_site_fract_y
_atom_site_fract_z
Rb1 Rb 0.0000 0.0000 0.1218
Rb2 Rb 0.0000 0.0000 0.2928
U1 U 0.0000 0.0000 0.4101
Te1 Te 0.0000 0.0000 0.0000
Te2 Te 0.0000 0.0000 0.5000
S1 S 0.0001 0.5001 0.2927
S2 S 0.0240 0.5120 0.1201
```

=====

Crystalline RbYTiAs2 at its relaxed geometry. Source: Alexandria via LeMat-Bulk, functional GGA-PBE.

E ... -0.297 Ry per atom
Size of the total moment ... 0.63 μB/cell

Geometry as CIF:
```
data_RbYTiAs2
_chemical_formula_sum 'Rb1 Y1 Ti1 As2'
_cell_length_a 5.4356
_cell_length_b 5.4356
_cell_length_c 5.8825
_cell_angle_alpha 90.00
_cell_angle_beta 90.00
_cell_angle_gamma 90.00
_space_group_name_H-M_alt 'P 4/m m m'
_space_group_IT_number 123
_space_group_name_Hall '-P 4 2'
loop_
_atom_site_label
_atom_site_type_symbol
_atom_site_fract_x
_atom_site_fract_y
_atom_site_fract_z
Rb1 Rb 0.0000 0.0000 0.0000
Y1 Y 0.0000 0.0000 0.5000
Ti1 Ti 0.5000 0.5000 0.0000
As1 As 0.0000 0.5000 0.5000
```

=====

Crystalline Tl2PdBr6 at its relaxed geometry. Source: Alexandria via LeMat-Bulk, functional GGA-PBE.

Size of the total moment ... 0.00 μB/cell
Raw formation energy ... -0.4702 eV/atom
Relative energy among the computed polymorphs ... 56 meV/atom

Geometry as CIF:
```
data_Tl2PdBr6
_chemical_formula_sum 'Tl4 Pd2 Br12'
_cell_length_a 7.1362
_cell_length_b 7.1362
_cell_length_c 12.8969
_cell_angle_alpha 90.00
_cell_angle_beta 90.00
_cell_angle_gamma 90.00
_space_group_name_H-M_alt 'P 42/m n m'
_space_group_IT_number 136
_space_group_name_Hall '-P 4n 2n'
loop_
_atom_site_label
_atom_site_type_symbol
_atom_site_fract_x
_atom_site_fract_y
_atom_site_fract_z
Tl1 Tl 0.0000 0.0000 0.1556
Pd1 Pd 0.0000 0.0000 0.5000
Br1 Br 0.1758 0.1758 0.3604
Br2 Br 0.2491 0.2491 0.0000
```

=====

Crystalline La3SmSn12 at its relaxed geometry. Source: Alexandria via LeMat-Bulk, functional GGA-PBE.

E ... -0.351 Ry per atom
Size of the total moment ... 0.00 μB/cell

Geometry as CIF:
```
data_La3SmSn12
_chemical_formula_sum 'La3 Sm1 Sn12'
_cell_length_a 4.7937
_cell_length_b 4.7937
_cell_length_c 19.1387
_cell_angle_alpha 90.00
_cell_angle_beta 90.00
_cell_angle_gamma 90.00
_space_group_name_H-M_alt 'P 4/m m m'
_space_group_IT_number 123
_space_group_name_Hall '-P 4 2'
loop_
_atom_site_label
_atom_site_type_symbol
_atom_site_fract_x
_atom_site_fract_y
_atom_site_fract_z
La1 La 0.0000 0.0000 0.0000
La2 La 0.0000 0.0000 0.2518
Sm1 Sm 0.0000 0.0000 0.5000
Sn1 Sn 0.0000 0.5000 0.1261
Sn2 Sn 0.0000 0.5000 0.3780
Sn3 Sn 0.5000 0.5000 0.0000
Sn4 Sn 0.5000 0.5000 0.2522
Sn5 Sn 0.5000 0.5000 0.5000
```

=====

Crystalline ErTm2PuN4 at its relaxed geometry. Source: Alexandria via LeMat-Bulk, functional GGA-PBE.

Size of the total moment ... 4.73 μB/cell
Raw formation energy ... -1.6516 eV/atom

Geometry as CIF:
```
data_ErTm2PuN4
_chemical_formula_sum 'Er1 Tm2 Pu1 N4'
_cell_length_a 5.9227
_cell_length_b 3.4334
_cell_length_c 5.9228
_cell_angle_alpha 90.00
_cell_angle_beta 109.39
_cell_angle_gamma 90.00
_space_group_name_H-M_alt 'P 1 2/m 1'
_space_group_IT_number 10
_space_group_name_Hall '-P 2y'
loop_
_atom_site_label
_atom_site_type_symbol
_atom_site_fract_x
_atom_site_fract_y
_atom_site_fract_z
Er1 Er 0.0000 0.0000 0.0000
Tm1 Tm 0.0000 0.5000 0.5000
Tm2 Tm 0.5000 0.0000 0.5000
Pu1 Pu 0.5000 0.5000 0.0000
N1 N 0.2521 0.0000 0.7507
N2 N 0.2527 0.5000 0.2498
```

=====

Crystalline KRbHg6 at its relaxed geometry. Source: Alexandria via LeMat-Bulk, functional GGA-PBE.

E ... -0.052 Ry per atom
Size of the total moment ... 0.00 μB/cell

Geometry as CIF:
```
data_KRbHg6
_chemical_formula_sum 'K2 Rb2 Hg12'
_cell_length_a 5.5961
_cell_length_b 7.3810
_cell_length_c 12.6953
_cell_angle_alpha 90.00
_cell_angle_beta 90.00
_cell_angle_gamma 90.00
_space_group_name_H-M_alt 'A m m 2'
_space_group_IT_number 38
_space_group_name_Hall 'A 2 -2'
loop_
_atom_site_label
_atom_site_type_symbol
_atom_site_fract_x
_atom_site_fract_y
_atom_site_fract_z
K1 K 0.0000 0.0000 0.0000
Rb1 Rb 0.5000 0.0000 0.3298
Hg1 Hg 0.0000 0.0000 0.5158
Hg2 Hg 0.0000 0.2203 0.7396
Hg3 Hg 0.5000 0.0000 0.8172
Hg4 Hg 0.5000 0.2245 0.5887
```

=====

Crystalline TaCoW2 at its relaxed geometry. Source: Alexandria via LeMat-Bulk, functional GGA-PBE.

Size of the total moment ... 6.32 μB/cell
Relative energy among the computed polymorphs ... 43 meV/atom

Geometry as CIF:
```
data_TaCoW2
_chemical_formula_sum 'Ta4 Co4 W8'
_cell_length_a 6.2804
_cell_length_b 6.2804
_cell_length_c 6.2804
_cell_angle_alpha 90.00
_cell_angle_beta 90.00
_cell_angle_gamma 90.00
_space_group_name_H-M_alt 'F -4 3 m'
_space_group_IT_number 216
_space_group_name_Hall 'F -4 2 3'
loop_
_atom_site_label
_atom_site_type_symbol
_atom_site_fract_x
_atom_site_fract_y
_atom_site_fract_z
Ta1 Ta 0.0000 0.0000 0.0000
Co1 Co 0.2500 0.2500 0.7500
W1 W 0.0000 0.0000 0.5000
W2 W 0.2500 0.2500 0.2500
```

=====

Crystalline Tm3Sb2S2 at its relaxed geometry. Source: Alexandria via LeMat-Bulk, functional GGA-PBE.

Size of the total moment ... 0.00 μB/cell
Raw formation energy ... -1.3449 eV/atom

Geometry as CIF:
```
data_Tm3Sb2S2
_chemical_formula_sum 'Tm6 Sb4 S4'
_cell_length_a 15.1415
_cell_length_b 3.9612
_cell_length_c 7.5561
_cell_angle_alpha 90.00
_cell_angle_beta 114.39
_cell_angle_gamma 90.00
_space_group_name_H-M_alt 'C 1 2/m 1'
_space_group_IT_number 12
_space_group_name_Hall '-C 2y'
loop_
_atom_site_label
_atom_site_type_symbol
_atom_site_fract_x
_atom_site_fract_y
_atom_site_fract_z
Tm1 Tm 0.0000 0.0000 0.0000
Tm2 Tm 0.2259 0.5000 0.7624
Sb1 Sb 0.1295 0.5000 0.3156
S1 S 0.1393 0.0000 0.8601
```

=====

Crystalline ThPd4Pt5 at its relaxed geometry. Source: Alexandria via LeMat-Bulk, functional GGA-PBE.

E ... -0.455 Ry per atom
Size of the total moment ... 0.00 μB/cell

Geometry as CIF:
```
data_ThPd4Pt5
_chemical_formula_sum 'Th2 Pd8 Pt10'
_cell_length_a 8.9447
_cell_length_b 9.0489
_cell_length_c 4.4989
_cell_angle_alpha 90.00
_cell_angle_beta 90.00
_cell_angle_gamma 90.00
_space_group_name_H-M_alt 'P m m n'
_space_group_IT_number 59
loop_
_space_group_symop_operation_xyz
'x,y,z'
'-x,-y,-z'
'-x+1/2,-y+1/2,z'
'x+1/2,y+1/2,-z'
'x+1/2,-y,-z'
'-x+1/2,y,z'
'-x,y+1/2,-z'
'x,-y+1/2,z'
loop_
_atom_site_label
_atom_site_type_symbol
_atom_site_fract_x
_atom_site_fract_y
_atom_site_fract_z
Th1 Th 0.2500 0.2500 0.2501
Pd1 Pd 0.0100 0.2500 0.7501
Pd2 Pd 0.2500 0.5707 0.2479
Pt1 Pt 0.0311 0.5634 0.7499
Pt2 Pt 0.2500 0.7500 0.7472
```

=====

Crystalline TbSc2Ag3Te6 at its relaxed geometry. Source: Alexandria via LeMat-Bulk, functional GGA-PBE.

Size of the total moment ... 0.00 μB/cell
Raw formation energy ... -0.7541 eV/atom

Geometry as CIF:
```
data_TbSc2Ag3Te6
_chemical_formula_sum 'Tb2 Sc4 Ag6 Te12'
_cell_length_a 7.4247
_cell_length_b 12.8723
_cell_length_c 7.4236
_cell_angle_alpha 90.00
_cell_angle_beta 109.33
_cell_angle_gamma 90.00
_space_group_name_H-M_alt 'C 1 2/m 1'
_space_group_IT_number 12
_space_group_name_Hall '-C 2y'
loop_
_atom_site_label
_atom_site_type_symbol
_atom_site_fract_x
_atom_site_fract_y
_atom_site_fract_z
Tb1 Tb 0.0000 0.0000 0.0000
Sc1 Sc 0.0000 0.3317 0.0000
Ag1 Ag 0.0000 0.1596 0.5000
Ag2 Ag 0.0000 0.5000 0.5000
Te1 Te 0.2338 0.5000 0.2454
Te2 Te 0.2452 0.3265 0.7549
```

=====

Crystalline TaGaIrRh at its relaxed geometry. Source: Alexandria via LeMat-Bulk, functional GGA-PBE.

Size of the total moment ... 0.00 μB/cell
Relative energy among the computed polymorphs ... 0 meV/atom

Geometry as CIF:
```
data_TaGaIrRh
_chemical_formula_sum 'Ta2 Ga2 Ir2 Rh2'
_cell_length_a 4.0462
_cell_length_b 4.0462
_cell_length_c 7.4240
_cell_angle_alpha 90.00
_cell_angle_beta 90.00
_cell_angle_gamma 90.00
_space_group_name_H-M_alt 'I -4 m 2'
_space_group_IT_number 119
_space_group_name_Hall 'I -4 -2'
loop_
_atom_site_label
_atom_site_type_symbol
_atom_site_fract_x
_atom_site_fract_y
_atom_site_fract_z
Ta1 Ta 0.0000 0.0000 0.0000
Ga1 Ga 0.0000 0.0000 0.5000
Ir1 Ir 0.0000 0.5000 0.2500
Rh1 Rh 0.0000 0.5000 0.7500
```

=====

Crystalline SrRe2Ru at its relaxed geometry. Source: Alexandria via LeMat-Bulk, functional GGA-PBE.

Size of the total moment ... 0.00 μB/cell
Relative energy among the computed polymorphs ... 276 meV/atom

Geometry as CIF:
```
data_SrRe2Ru
_chemical_formula_sum 'Sr2 Re4 Ru2'
_cell_length_a 3.0648
_cell_length_b 5.1649
_cell_length_c 9.5750
_cell_angle_alpha 90.00
_cell_angle_beta 90.00
_cell_angle_gamma 90.00
_space_group_name_H-M_alt 'I m m 2'
_space_group_IT_number 44
_space_group_name_Hall 'I 2 -2'
loop_
_atom_site_label
_atom_site_type_symbol
_atom_site_fract_x
_atom_site_fract_y
_atom_site_fract_z
Sr1 Sr 0.0000 0.0000 0.0000
Re1 Re 0.0000 0.0000 0.4962
Re2 Re 0.0000 0.5000 0.7930
Ru1 Ru 0.0000 0.5000 0.2151
```

=====

Crystalline NaLi2TlCr at its relaxed geometry. Source: Alexandria via LeMat-Bulk, functional GGA-PBE.

E ... -0.202 Ry per atom
Size of the total moment ... 4.31 μB/cell

Geometry as CIF:
```
data_NaLi2TlCr
_chemical_formula_sum 'Na1 Li2 Tl1 Cr1'
_cell_length_a 5.1434
_cell_length_b 5.1434
_cell_length_c 5.6013
_cell_angle_alpha 90.00
_cell_angle_beta 90.00
_cell_angle_gamma 90.00
_space_group_name_H-M_alt 'P 4/m m m'
_space_group_IT_number 123
_space_group_name_Hall '-P 4 2'
loop_
_atom_site_label
_atom_site_type_symbol
_atom_site_fract_x
_atom_site_fract_y
_atom_site_fract_z
Na1 Na 0.0000 0.0000 0.0000
Li1 Li 0.0000 0.5000 0.5000
Tl1 Tl 0.0000 0.0000 0.5000
Cr1 Cr 0.5000 0.5000 0.0000
```

=====

Crystalline CaTe2P at its relaxed geometry. Source: Alexandria via LeMat-Bulk, functional GGA-PBE.

Size of the total moment ... 0.00 μB/cell
Raw formation energy ... -0.5859 eV/atom

Geometry as CIF:
```
data_CaTe2P
_chemical_formula_sum 'Ca1 Te2 P1'
_cell_length_a 4.5095
_cell_length_b 4.5933
_cell_length_c 6.2425
_cell_angle_alpha 90.00
_cell_angle_beta 111.06
_cell_angle_gamma 90.00
_space_group_name_H-M_alt 'P 1 m 1'
_space_group_IT_number 6
_space_group_name_Hall 'P -2y'
loop_
_atom_site_label
_atom_site_type_symbol
_atom_site_fract_x
_atom_site_fract_y
_atom_site_fract_z
Ca1 Ca 0.0000 0.0000 0.0000
Te1 Te 0.4497 0.5000 0.8793
Te2 Te 0.7617 0.0000 0.4304
P1 P 0.4667 0.5000 0.2917
```

=====

Crystalline CeNdMgPb at its relaxed geometry. Source: Alexandria via LeMat-Bulk, functional GGA-PBE.

E ... -0.312 Ry per atom
Size of the total moment ... 5.20 μB/cell

Geometry as CIF:
```
data_CeNdMgPb
_chemical_formula_sum 'Ce4 Nd4 Mg4 Pb4'
_cell_length_a 7.7884
_cell_length_b 7.7884
_cell_length_c 7.7884
_cell_angle_alpha 90.00
_cell_angle_beta 90.00
_cell_angle_gamma 90.00
_space_group_name_H-M_alt 'F -4 3 m'
_space_group_IT_number 216
_space_group_name_Hall 'F -4 2 3'
loop_
_atom_site_label
_atom_site_type_symbol
_atom_site_fract_x
_atom_site_fract_y
_atom_site_fract_z
Ce1 Ce 0.0000 0.0000 0.0000
Nd1 Nd 0.0000 0.0000 0.5000
Mg1 Mg 0.2500 0.2500 0.7500
Pb1 Pb 0.2500 0.2500 0.2500
```

=====

Crystalline Tb5Er3H12 at its relaxed geometry. Source: Alexandria via LeMat-Bulk, functional GGA-PBE.

E ... -0.317 Ry per atom
Size of the total moment ... 0.00 μB/cell

Geometry as CIF:
```
data_Tb5Er3H12
_chemical_formula_sum 'Tb40 Er24 H96'
_cell_length_a 13.0422
_cell_length_b 13.0422
_cell_length_c 13.0422
_cell_angle_alpha 90.00
_cell_angle_beta 90.00
_cell_angle_gamma 90.00
_space_group_name_H-M_alt 'I a -3 d'
_space_group_IT_number 230
_space_group_name_Hall '-I 4bd 2c 3'
loop_
_atom_site_label
_atom_site_type_symbol
_atom_site_fract_x
_atom_site_fract_y
_atom_site_fract_z
Tb1 Tb 0.0000 0.0000 0.0000
Tb2 Tb 0.0000 0.2500 0.3750
Er1 Er 0.0000 0.2500 0.1250
H1 H 0.0000 0.0676 0.1570
```

=====

Crystalline Cs2NaPtRh at its relaxed geometry. Source: Alexandria via LeMat-Bulk, functional GGA-PBE.

E ... -0.172 Ry per atom
Size of the total moment ... 2.00 μB/cell

Geometry as CIF:
```
data_Cs2NaPtRh
_chemical_formula_sum 'Cs2 Na1 Pt1 Rh1'
_cell_length_a 6.6440
_cell_length_b 6.6440
_cell_length_c 5.0123
_cell_angle_alpha 90.00
_cell_angle_beta 90.00
_cell_angle_gamma 90.00
_space_group_name_H-M_alt 'P 4/m m m'
_space_group_IT_number 123
_space_group_name_Hall '-P 4 2'
loop_
_atom_site_label
_atom_site_type_symbol
_atom_site_fract_x
_atom_site_fract_y
_atom_site_fract_z
Cs1 Cs 0.0000 0.5000 0.0000
Na1 Na 0.0000 0.0000 0.0000
Pt1 Pt 0.0000 0.0000 0.5000
Rh1 Rh 0.5000 0.5000 0.5000
```

=====

Crystalline PrDy2Th4 at its relaxed geometry. Source: Alexandria via LeMat-Bulk, functional GGA-PBE.

E ... -0.437 Ry per atom
Size of the total moment ... 0.00 μB/cell

Geometry as CIF:
```
data_PrDy2Th4
_chemical_formula_sum 'Pr2 Dy4 Th8'
_cell_length_a 9.3698
_cell_length_b 9.3698
_cell_length_c 5.5588
_cell_angle_alpha 90.00
_cell_angle_beta 90.00
_cell_angle_gamma 90.00
_space_group_name_H-M_alt 'P 42/m n m'
_space_group_IT_number 136
_space_group_name_Hall '-P 4n 2n'
loop_
_atom_site_label
_atom_site_type_symbol
_atom_site_fract_x
_atom_site_fract_y
_atom_site_fract_z
Pr1 Pr 0.0000 0.0000 0.0000
Dy1 Dy 0.1859 0.1859 0.5000
Th1 Th 0.1203 0.6235 0.5000
```

=====

Crystalline TaBeTlO2 at its relaxed geometry. Source: Alexandria via LeMat-Bulk, functional GGA-PBE.

Size of the total moment ... 0.00 μB/cell
Raw formation energy ... -0.9217 eV/atom

Geometry as CIF:
```
data_TaBeTlO2
_chemical_formula_sum 'Ta1 Be1 Tl1 O2'
_cell_length_a 3.8712
_cell_length_b 3.8712
_cell_length_c 6.2451
_cell_angle_alpha 90.00
_cell_angle_beta 90.00
_cell_angle_gamma 90.00
_space_group_name_H-M_alt 'P 4/m m m'
_space_group_IT_number 123
_space_group_name_Hall '-P 4 2'
loop_
_atom_site_label
_atom_site_type_symbol
_atom_site_fract_x
_atom_site_fract_y
_atom_site_fract_z
Ta1 Ta 0.0000 0.0000 0.0000
Be1 Be 0.5000 0.5000 0.5000
Tl1 Tl 0.0000 0.0000 0.5000
O1 O 0.0000 0.5000 0.0000
```

=====

Crystalline EuHfZrSnO6 at its relaxed geometry. Source: Alexandria via LeMat-Bulk, functional GGA-PBE.

Size of the total moment ... 28.04 μB/cell
Raw formation energy ... -2.7827 eV/atom

Geometry as CIF:
```
data_EuHfZrSnO6
_chemical_formula_sum 'Eu4 Hf4 Zr4 Sn4 O24'
_cell_length_a 8.3286
_cell_length_b 8.3286
_cell_length_c 8.3286
_cell_angle_alpha 90.00
_cell_angle_beta 90.00
_cell_angle_gamma 90.00
_space_group_name_H-M_alt 'F -4 3 m'
_space_group_IT_number 216
_space_group_name_Hall 'F -4 2 3'
loop_
_atom_site_label
_atom_site_type_symbol
_atom_site_fract_x
_atom_site_fract_y
_atom_site_fract_z
Eu1 Eu 0.0000 0.0000 0.0000
Hf1 Hf 0.2500 0.2500 0.7500
Zr1 Zr 0.2500 0.2500 0.2500
Sn1 Sn 0.0000 0.0000 0.5000
O1 O 0.0018 0.2500 0.7500
```